# 1
# NpSi4Pt2

NpSi4Pt2 after structural relaxation (PBE, Alexandria).

theoretical density	10.460	g/cm³
formation energy from raw total energies	-11.6	kcal/mol of atoms
total magnetic moment	4.224	μB/f.u.
density of states at the Fermi level	1.31	states/eV per atom
space group	No. 62

Cell: 4.0767 6.5659 17.5436 Å, 90.00 90.00 90.00°
Last column: nearest neighbours and their distance in Å.
Positions (direct):
Pt: 0.7500 0.4741 0.7032  7 Si 2.49-2.61
Si: 0.2500 0.2581 0.6934  3 Pt 2.49-2.60
Pt: 0.2500 0.9741 0.7968  7 Si 2.49-2.61
Si: 0.7500 0.7419 0.3066  3 Pt 2.49-2.60
Pt: 0.7500 0.2534 0.4835  6 Si 2.42-2.54
Pt: 0.2500 0.7466 0.5165  6 Si 2.42-2.54
Si: 0.2500 0.2419 0.1934  3 Pt 2.49-2.60
Np: 0.7500 0.9676 0.6419  8 Si 2.88-3.20
Np: 0.2500 0.0324 0.3581  8 Si 2.88-3.20
Si: 0.2500 0.6891 0.6930  3 Pt 2.49-2.61
Si: 0.2500 0.8109 0.1930  3 Pt 2.49-2.61
Pt: 0.2500 0.5259 0.2968  7 Si 2.49-2.61
Si: 0.7500 0.8760 0.4581  3 Pt 2.43-2.52
Si: 0.7500 0.9471 0.0637  4 Pt 2.42-2.54
Si: 0.7500 0.7581 0.8066  3 Pt 2.49-2.60
Si: 0.2500 0.1240 0.5419  3 Pt 2.43-2.52
Pt: 0.7500 0.2466 0.9835  6 Si 2.42-2.54
Pt: 0.2500 0.7534 0.0165  6 Si 2.42-2.54
Si: 0.2500 0.3760 0.0419  3 Pt 2.43-2.52
Si: 0.7500 0.1891 0.8070  3 Pt 2.49-2.61
Pt: 0.7500 0.0259 0.2032  7 Si 2.49-2.61
Si: 0.7500 0.5529 0.5637  4 Pt 2.42-2.54
Np: 0.2500 0.4676 0.8581  8 Si 2.88-3.20
Si: 0.2500 0.4471 0.4363  4 Pt 2.42-2.54
Si: 0.7500 0.6240 0.9581  3 Pt 2.43-2.52
Si: 0.2500 0.0529 0.9363  4 Pt 2.42-2.54
Si: 0.7500 0.3109 0.3070  3 Pt 2.49-2.61
Np: 0.7500 0.5324 0.1419  8 Si 2.88-3.20



# 2
# Np3Si4Pt2

Np3Si4Pt2 after structural relaxation (PBE, Alexandria).

theoretical density	11.531	g/cm³
formation energy from raw total energies	-11.7	kcal/mol of atoms
total magnetic moment	11.205	μB/f.u.
density of states at the Fermi level	2.92	states/eV per atom
space group	No. 12

Cell: 4.1598 5.7408 8.1042 Å, 103.36 90.00 111.24°
Last column: nearest neighbours and their distance in Å.
Positions (direct):
Pt: 0.3860 0.7721 0.7178  3 Si 2.41-2.42
Si: 0.9552 0.9104 0.6175  1 Si 2.33, 2 Pt 2.42
Pt: 0.6140 0.2279 0.2822  3 Si 2.41-2.42
Si: 0.7248 0.4496 0.0567  2 Si 2.39, 1 Pt 2.41
Np: 0.3322 0.6643 0.3308  8 Si 3.03-3.21, 4 Pt 3.04-3.14
Np: 0.6678 0.3357 0.6692  8 Si 3.03-3.21, 4 Pt 3.04-3.14
Np: 0.0000 0.0000 0.0000  8 Si 3.02-3.13, 4 Pt 3.11
Si: 0.2752 0.5504 0.9433  2 Si 2.39, 1 Pt 2.41
Si: 0.0448 0.0896 0.3825  1 Si 2.33, 2 Pt 2.42



# 3
# NpSi3Pt5

NpSi3Pt5 after structural relaxation (PBE, Alexandria).

theoretical density	13.797	g/cm³
formation energy from raw total energies	-14.8	kcal/mol of atoms
total magnetic moment	4.119	μB/f.u.
density of states at the Fermi level	1.26	states/eV per atom
space group	No. 63

Cell: 3.8725 6.5918 12.7916 Å, 90.00 90.00 107.08°
Last column: nearest neighbours and their distance in Å.
Positions (direct):
Si: 0.6157 0.2315 0.0400  5 Pt 2.28-2.55
Pt: 0.2085 0.4170 0.5817  2 Si 2.28-2.42
Si: 0.3843 0.7685 0.9600  5 Pt 2.28-2.55
Pt: 0.7915 0.5830 0.4183  2 Si 2.28-2.42
Pt: 0.0000 0.0000 0.0000  4 Si 2.48, 4 Pt 2.76
Pt: 0.4541 0.9081 0.3533  4 Si 2.45-2.55, 1 Pt 2.64
Np: 0.8559 0.7118 0.7500  7 Si 3.33-3.54, 10 Pt 3.35-3.68
Pt: 0.4541 0.9081 0.1467  4 Si 2.45-2.55, 1 Pt 2.64
Si: 0.3843 0.7685 0.5400  5 Pt 2.28-2.55
Pt: 0.0000 0.0000 0.5000  4 Si 2.48, 4 Pt 2.76
Pt: 0.7915 0.5830 0.0817  2 Si 2.28-2.42
Si: 0.1211 0.2422 0.7500  6 Pt 2.42-2.53
Pt: 0.5459 0.0919 0.6467  4 Si 2.45-2.55, 1 Pt 2.64
Np: 0.1441 0.2882 0.2500  7 Si 3.33-3.54, 10 Pt 3.35-3.68
Si: 0.8789 0.7578 0.2500  6 Pt 2.42-2.53
Pt: 0.5459 0.0919 0.8533  4 Si 2.45-2.55, 1 Pt 2.64
Pt: 0.2085 0.4170 0.9183  2 Si 2.28-2.42
Si: 0.6157 0.2315 0.4600  5 Pt 2.28-2.55



# 4
# Np2Si7Pt12

Np2Si7Pt12 after structural relaxation (PBE, Alexandria).

theoretical density	14.703	g/cm³
formation energy from raw total energies	-16.9	kcal/mol of atoms
total magnetic moment	7.918	μB/f.u.
density of states at the Fermi level	1.01	states/eV per atom
space group	No. 147

Cell: 3.9677 9.9490 9.9490 Å, 120.00 90.00 90.00°
Last column: nearest neighbours and their distance in Å.
Positions (direct):
Pt: 0.2404 0.1126 0.2593  4 Si 2.44-2.57
Pt: 0.2506 0.9291 0.5481  4 Si 2.40-2.67
Pt: 0.2404 0.7407 0.8533  4 Si 2.44-2.57
Si: 0.7453 0.1172 0.7130  7 Pt 2.40-2.67
Si: 0.7453 0.2870 0.4043  7 Pt 2.40-2.67
Np: 0.7548 0.6667 0.3333  6 Pt 3.11-3.13, 6 Si 3.12
Si: 0.7453 0.5957 0.8828  7 Pt 2.40-2.67
Pt: 0.7494 0.0709 0.4519  4 Si 2.40-2.67
Pt: 0.2506 0.6190 0.0709  4 Si 2.40-2.67
Np: 0.2452 0.3333 0.6667  6 Pt 3.11-3.13, 6 Si 3.12
Pt: 0.2404 0.1467 0.8874  4 Si 2.44-2.57
Si: 0.2547 0.8828 0.2870  7 Pt 2.40-2.67
Pt: 0.7596 0.2593 0.1467  4 Si 2.44-2.57
Pt: 0.2506 0.4519 0.3810  4 Si 2.40-2.67
Si: 0.2547 0.7130 0.5957  7 Pt 2.40-2.67
Pt: 0.7596 0.8874 0.7407  4 Si 2.44-2.57
Pt: 0.7494 0.5481 0.6190  4 Si 2.40-2.67
Pt: 0.7494 0.3810 0.9291  4 Si 2.40-2.67
Pt: 0.7596 0.8533 0.1126  4 Si 2.44-2.57
Si: 0.2547 0.4043 0.1172  7 Pt 2.40-2.67
Si: 0.5000 0.0000 0.0000  6 Pt 2.47



# 5
# Np3Si4Pt4

Np3Si4Pt4 after structural relaxation (PBE, Alexandria).

theoretical density	12.983	g/cm³
formation energy from raw total energies	-15.6	kcal/mol of atoms
total magnetic moment	4.048	μB/f.u.
density of states at the Fermi level	2.58	states/eV per atom
energy relative to the lowest polymorph listed for this composition	0.0000	eV per atom
space group	No. 71

Cell: 4.1342 3.9483 12.8864 Å, 98.81 99.23 90.00°
Last column: nearest neighbours and their distance in Å.
Positions (direct):
Pt: 0.7507 0.7507 0.5014  4 Si 2.44-2.53
Np: 0.6431 0.1430 0.2861  8 Pt 3.09-3.38, 6 Si 3.12-3.13
Si: 0.4534 0.4534 0.9068  1 Si 2.34, 2 Pt 2.41
Np: 0.3569 0.8570 0.7139  8 Pt 3.09-3.38, 6 Si 3.12-3.13
Pt: 0.9038 0.4038 0.8075  3 Si 2.41-2.42
Pt: 0.2493 0.2493 0.4986  4 Si 2.44-2.53
Si: 0.8076 0.3076 0.6152  5 Pt 2.42-2.53
Np: 0.0000 0.0000 0.0000  8 Si 3.09, 4 Pt 3.12
Si: 0.1924 0.6924 0.3848  5 Pt 2.42-2.53
Si: 0.5466 0.5466 0.0932  1 Si 2.34, 2 Pt 2.41
Pt: 0.0962 0.5962 0.1925  3 Si 2.41-2.42



# 6
# Np3Si4Pt4

Np3Si4Pt4 after structural relaxation (PBE, Alexandria).

theoretical density	12.706	g/cm³
formation energy from raw total energies	-15.0	kcal/mol of atoms
total magnetic moment	3.450	μB/f.u.
density of states at the Fermi level	2.66	states/eV per atom
energy relative to the lowest polymorph listed for this composition	0.0255	eV per atom
space group	No. 71

Cell: 4.0293 4.2275 12.6452 Å, 80.38 80.84 90.01°
Last column: nearest neighbours and their distance in Å.
Positions (direct):
Np: 0.1464 0.6465 0.7074  6 Pt 3.03-3.19, 8 Si 3.13-3.36
Si: 0.3992 0.8995 0.2007  3 Pt 2.40-2.42
Pt: 0.4461 0.4458 0.1081  2 Si 2.40, 1 Pt 2.66
Np: 0.8536 0.3536 0.2926  6 Pt 3.03-3.19, 8 Si 3.13-3.36
Pt: 0.3014 0.8014 0.3972  5 Si 2.41-2.44
Si: 0.7479 0.7478 0.5044  4 Pt 2.41-2.44
Si: 0.2522 0.2522 0.4956  4 Pt 2.41-2.44
Pt: 0.6986 0.1986 0.6028  5 Si 2.41-2.44
Pt: 0.5540 0.5543 0.8918  2 Si 2.40, 1 Pt 2.66
Si: 0.6009 0.1006 0.7993  3 Pt 2.40-2.42
Np: 0.0000 0.0000 0.0000  4 Si 3.19, 8 Pt 3.21



# 7
# Np2Si6Pt21

Np2Si6Pt21 after structural relaxation (PBE, Alexandria).

theoretical density	16.787	g/cm³
formation energy from raw total energies	-12.6	kcal/mol of atoms
total magnetic moment	5.812	μB/f.u.
density of states at the Fermi level	0.98	states/eV per atom
space group	No. 225

Cell: 8.7199 8.7199 8.7192 Å, 60.00 60.00 59.99°
Last column: nearest neighbours and their distance in Å.
Positions (direct):
Pt: 0.1523 0.6159 0.6159  3 Si 2.50
Pt: 0.6159 0.6159 0.1523  3 Si 2.50
Pt: 0.0000 0.3460 0.0000  2 Si 2.41, 1 Pt 2.69
Si: 0.2644 0.7356 0.7356  8 Pt 2.41-2.50
Pt: 0.8477 0.3841 0.3841  3 Si 2.50
Pt: 0.3841 0.8477 0.3841  3 Si 2.50
Si: 0.2644 0.2644 0.7356  8 Pt 2.41-2.50
Pt: 0.6540 0.0000 0.0000  2 Si 2.41, 1 Pt 2.69
Si: 0.7356 0.2644 0.7356  8 Pt 2.41-2.50
Pt: 0.3460 0.6540 0.0000  2 Si 2.41, 1 Pt 2.69
Si: 0.7356 0.7356 0.2644  8 Pt 2.41-2.50
Si: 0.2644 0.7356 0.2644  8 Pt 2.41-2.50
Pt: 0.6159 0.6159 0.6159  3 Si 2.50
Pt: 0.3841 0.3841 0.8477  3 Si 2.50
Pt: 0.3841 0.3841 0.3841  3 Si 2.50
Pt: 0.3460 0.0000 0.6540  2 Si 2.41, 1 Pt 2.69
Pt: 0.0000 0.3460 0.6540  2 Si 2.41, 1 Pt 2.69
Pt: 0.0000 0.0000 0.6540  2 Si 2.41, 1 Pt 2.69
Np: 0.7500 0.7500 0.7500  4 Pt 2.86
Pt: 0.6540 0.3460 0.0000  2 Si 2.41, 1 Pt 2.69
Pt: 0.6540 0.0000 0.3460  2 Si 2.41, 1 Pt 2.69
Pt: 0.6159 0.1523 0.6159  3 Si 2.50
Pt: 0.3460 0.0000 0.0000  2 Si 2.41, 1 Pt 2.69
Si: 0.7356 0.2644 0.2644  8 Pt 2.41-2.50
Pt: 0.0000 0.6540 0.0000  2 Si 2.41, 1 Pt 2.69
Np: 0.2500 0.2500 0.2500  4 Pt 2.86
Pt: 0.0000 0.0000 0.3460  2 Si 2.41, 1 Pt 2.69
Pt: 0.0000 0.6540 0.3460  2 Si 2.41, 1 Pt 2.69
Pt: 0.0000 0.0000 0.0000  12 Pt 3.02, 6 Si 3.26



# 8
# NpSi3Pt

NpSi3Pt after structural relaxation (PBE, Alexandria).

theoretical density	8.762	g/cm³
formation energy from raw total energies	-7.2	kcal/mol of atoms
total magnetic moment	3.815	μB/f.u.
density of states at the Fermi level	1.69	states/eV per atom
space group	No. 11

Cell: 4.1474 6.2066 8.0723 Å, 90.00 90.00 109.63°
Last column: nearest neighbours and their distance in Å.
Positions (direct):
Si: 0.4013 0.3056 0.4957  2 Si 2.27-2.40, 1 Pt 2.34
Si: 0.5987 0.6944 0.9957  2 Si 2.27-2.40, 1 Pt 2.34
Si: 0.2970 0.0946 0.7500  2 Pt 2.35, 2 Si 2.40
Si: 0.4013 0.3056 0.0043  2 Si 2.27-2.40, 1 Pt 2.34
Np: 0.0092 0.5180 0.2500  10 Si 3.07-3.13, 3 Pt 3.23-3.37
Si: 0.7030 0.9054 0.2500  2 Pt 2.35, 2 Si 2.40
Pt: 0.7020 0.9057 0.7500  4 Si 2.34-2.35
Np: 0.9908 0.4820 0.7500  10 Si 3.07-3.13, 3 Pt 3.23-3.37
Pt: 0.2980 0.0943 0.2500  4 Si 2.34-2.35
Si: 0.5987 0.6944 0.5043  2 Si 2.27-2.40, 1 Pt 2.34



# 9
# Np2SiPt3

Np2SiPt3 after structural relaxation (PBE, Alexandria).

theoretical density	15.258	g/cm³
formation energy from raw total energies	-14.1	kcal/mol of atoms
total magnetic moment	7.320	μB/f.u.
density of states at the Fermi level	2.89	states/eV per atom
space group	No. 25

Cell: 3.4929 4.3842 7.7275 Å, 90.00 90.00 90.00°
Last column: nearest neighbours and their distance in Å.
Positions (direct):
Np: 0.0000 0.0000 0.5109  8 Pt 2.96-3.12, 4 Si 3.16
Pt: 0.5000 0.5000 0.6342  1 Si 2.41
Pt: 0.5000 0.0000 0.8454  3 Pt 2.69-2.73
Pt: 0.5000 0.0000 0.1941  2 Si 2.41, 1 Pt 2.69
Si: 0.5000 0.5000 0.3226  3 Pt 2.41
Np: 0.0000 0.5000 0.9927  10 Pt 3.02-3.27, 2 Si 3.09